Record 1
## Mn3Cr2Si3O12 (PBE with a Hubbard U)

Data for a geometry-optimized Mn3Cr2Si3O12 structure.

The structure in extended XYZ format:
```
80
Lattice="-4.221 -6.371 6.956 10.012 -2.294 -1.144 -0.947 9.764 3.250" Properties=species:S:1:pos:R:3 pbc="T T T"
O -3.222 -0.184 8.183
O 5.397 -0.122 7.568
O -0.554 1.221 1.495
O 3.470 3.575 2.750
O 2.946 0.494 8.803
O 3.425 4.971 4.877
O 1.418 -3.872 4.186
O 1.584 0.371 6.348
O -1.216 -3.484 7.019
O -0.749 -2.155 4.536
O 1.373 -2.476 6.313
O 3.974 -0.546 5.182
O -0.533 -0.841 7.696
O 3.832 -2.602 3.305
O 2.673 -6.834 6.402
O 3.259 0.728 2.715
O 7.566 -1.198 2.048
O -2.723 2.297 7.015
O 1.475 -1.102 3.890
O 8.760 3.828 1.857
O 8.065 1.283 0.880
O 7.643 -3.866 1.167
O -1.277 3.184 4.771
O 6.473 -4.775 3.559
O 5.376 1.940 1.367
O 4.135 -2.930 6.056
O 5.934 0.663 3.495
O 6.120 -2.085 4.292
O 0.156 -5.662 5.949
O 4.817 -0.790 1.395
O -2.800 4.965 7.896
O 3.368 2.201 5.173
O -3.916 -2.729 7.207
O 0.026 1.889 7.668
O 4.526 2.548 7.710
O 1.011 3.701 5.758
O 0.981 6.346 4.653
O -1.091 0.436 5.568
O 3.862 -5.247 4.410
O -1.630 5.874 5.504
O 1.897 0.605 0.260
O 4.687 6.761 3.114
O 2.171 7.933 2.661
O 0.869 1.645 3.881
O 0.708 4.029 3.007
O 5.592 3.254 4.527
O 6.059 4.583 2.044
O 0.317 -1.449 1.353
Mn -0.964 3.988 6.906
Mn 2.581 -1.233 1.716
Mn -0.568 -0.235 3.278
Mn 3.223 -1.193 7.261
Mn 2.516 5.667 2.878
Mn 2.327 -4.568 6.185
Mn 5.807 -2.889 2.157
Mn 1.620 2.292 1.803
Mn 2.262 2.331 7.347
Mn 5.411 1.334 5.785
Mn -2.270 -1.404 6.293
Mn 7.113 2.503 2.770
Cr 2.895 -4.333 2.906
Cr 2.422 0.549 4.532
Cr 4.532 3.735 1.053
Cr -2.584 1.696 5.103
Cr 0.000 0.000 0.000
Cr -2.110 -3.186 3.478
Cr 5.006 -1.147 -0.572
Cr -0.474 4.882 1.625
Si 6.152 6.027 2.856
Si 4.515 -2.041 4.709
Si -0.004 0.464 6.820
Si 4.847 0.635 2.243
Si -1.309 -4.928 6.207
Si 0.879 -2.401 4.731
Si 0.328 3.140 4.354
Si 7.996 -0.362 0.681
Si -0.633 6.664 4.440
Si 5.476 -5.565 4.623
Si -3.153 1.461 8.382
Si 3.964 3.500 4.332
```

## Properties
SG: No. 230

Record 2
## Mn2CrSiO4 (PBE with a Hubbard U)

Data for a geometry-optimized Mn2CrSiO4 structure.

The structure in extended XYZ format:
```
8
Lattice="-3.459 -3.344 1.293 0.857 -2.516 -4.214 4.392 0.528 3.522" Properties=species:S:1:pos:R:3 pbc="T T T"
Cr -2.602 -5.860 -2.920
Si -1.301 -2.930 -1.460
O 1.899 -2.984 1.040
O 0.219 -3.311 -2.051
O -1.433 -3.628 0.056
O 2.895 -0.742 2.158
Mn -0.184 -2.873 1.678
Mn 1.975 -2.459 -1.076
```

## Properties
SG: No. 121

| no. | final energy (eV per cell) | V (Å³/f.u.) |
| --- | --- | --- |
| 1 | -634.179 | 212 |
| 2 | -60.352 | 110 |